Entry 1:
The following is a PBE-GGA calculation of an optimized crystal structure of ScFeIr, from Alexandria.

## Properties
symmetry = No. 216
raw total energy = -0.274 Ha/atom
DOS at the Fermi energy = 1.85 states/eV per atom
formation enthalpy at 0 K = 442 meV per atom

Cell: 4.2795 4.2795 4.2795 Å, 60.00 60.00 60.00°
Closest atoms and distances in Å follow each position.
Fractional positions:
Fe  0.0000  0.0000  0.0000  4 Sc 2.62
Sc  0.2500  0.2500  0.2500  4 Ir 2.62, 4 Fe 2.62
Ir  0.5000  0.5000  0.5000  4 Sc 2.62

Entry 2:
The following is a PBE-GGA calculation of an optimized crystal structure of ScFeIr2, from Alexandria.

## Properties
symmetry = No. 216
raw total energy = -0.305 Ha/atom
DOS at the Fermi energy = 1.16 states/eV per atom
formation enthalpy at 0 K = -178 meV per atom

Cell: 4.4253 4.4253 4.4253 Å, 60.00 60.00 60.00°
Closest atoms and distances in Å follow each position.
Fractional positions:
Ir  0.2500  0.2500  0.2500  4 Fe 2.71, 4 Ir 2.71
Ir  0.0000  0.0000  0.0000  4 Ir 2.71, 4 Sc 2.71
Sc  0.7500  0.7500  0.7500  4 Fe 2.71, 4 Ir 2.71
Fe  0.5000  0.5000  0.5000  4 Sc 2.71, 4 Ir 2.71

Entry 3:
The following is a PBE-GGA calculation of an optimized crystal structure of Sc2FeIr, from Alexandria.

## Properties
symmetry = No. 99
raw total energy = -0.285 Ha/atom
DOS at the Fermi energy = 0.67 states/eV per atom
formation enthalpy at 0 K = -249 meV per atom

Cell: 3.0293 3.0293 7.9932 Å, 90.00 90.00 90.00°
Closest atoms and distances in Å follow each position.
Fractional positions:
Ir  0.5000  0.5000  0.7216  4 Fe 2.63, 4 Sc 2.76
Fe  0.0000  0.0000  0.5316  4 Ir 2.63, 4 Sc 2.79
Sc  0.0000  0.0000  0.9389  4 Ir 2.76, 4 Sc 3.03
Sc  0.5000  0.5000  0.3079  4 Fe 2.79, 4 Sc 3.03

Among the records above, which one has the lowest DOS at the Fermi energy? Sc2FeIr